1.
## Dy2B4O9 (meta-GGA SCAN)

Data for a PBEsol-optimized structure of Dy2B4O9.

```
data_Dy2B4O9
_cell_length_a 6.117
_cell_length_b 6.372
_cell_length_c 7.452
_cell_angle_alpha 102.65
_cell_angle_beta 97.33
_cell_angle_gamma 102.51
_symmetry_space_group_name_H-M 'P 1'
_symmetry_Int_Tables_number 1
_symmetry_space_group_name_Hall 'P 1'
loop_
_atom_site_label
_atom_site_fract_x
_atom_site_fract_y
_atom_site_fract_z
Dy1 0.050 0.091 0.287
Dy2 0.387 0.676 0.359
Dy3 0.613 0.324 0.641
Dy4 0.950 0.909 0.713
B1 0.125 0.356 0.650
B2 0.161 0.684 0.927
B3 0.233 0.334 0.981
B4 0.496 0.144 0.191
B5 0.504 0.856 0.809
B6 0.767 0.666 0.019
B7 0.839 0.316 0.073
B8 0.875 0.644 0.350
O1 0.004 0.792 0.022
O2 0.036 0.538 0.748
O3 0.082 0.819 0.447
O4 0.265 0.263 0.787
O5 0.276 0.574 0.041
O6 0.280 0.407 0.522
O7 0.311 0.872 0.879
O8 0.363 0.285 0.145
O9 0.431 0.043 0.326
O10 0.569 0.957 0.674
O11 0.637 0.715 0.855
O12 0.689 0.128 0.121
O13 0.720 0.593 0.478
O14 0.724 0.426 0.959
O15 0.735 0.737 0.213
O16 0.918 0.181 0.553
O17 0.964 0.462 0.252
O18 0.996 0.208 0.978
```



2.
## BWI2O (meta-GGA SCAN)

Data for a PBEsol-optimized structure of BWI2O.

```
data_BWI2O
_cell_length_a 5.192
_cell_length_b 5.192
_cell_length_c 3.040
_cell_angle_alpha 90.00
_cell_angle_beta 90.00
_cell_angle_gamma 90.00
_symmetry_space_group_name_H-M 'P 1'
_symmetry_Int_Tables_number 1
_symmetry_space_group_name_Hall 'P 1'
loop_
_atom_site_label
_atom_site_fract_x
_atom_site_fract_y
_atom_site_fract_z
B1 0.000 0.000 0.000
W1 0.500 0.500 0.500
I1 0.000 0.500 0.000
I2 0.500 0.000 0.000
O1 0.000 0.000 0.500
```



3.
## MgTlTe2 (meta-GGA SCAN)

Data for a PBEsol-optimized structure of MgTlTe2.

```
data_MgTlTe2
_cell_length_a 5.782
_cell_length_b 5.782
_cell_length_c 3.325
_cell_angle_alpha 90.00
_cell_angle_beta 90.00
_cell_angle_gamma 90.00
_symmetry_space_group_name_H-M 'P 1'
_symmetry_Int_Tables_number 1
_symmetry_space_group_name_Hall 'P 1'
loop_
_atom_site_label
_atom_site_fract_x
_atom_site_fract_y
_atom_site_fract_z
Mg1 0.000 0.000 0.000
Tl1 0.500 0.500 0.000
Te1 0.000 0.500 0.500
Te2 0.500 0.000 0.500
```



4.
## BeAuBr2 (meta-GGA SCAN)

Data for a PBEsol-optimized structure of BeAuBr2.

```
data_BeAuBr2
_cell_length_a 9.539
_cell_length_b 9.539
_cell_length_c 9.539
_cell_angle_alpha 19.60
_cell_angle_beta 19.60
_cell_angle_gamma 19.60
_symmetry_space_group_name_H-M 'P 1'
_symmetry_Int_Tables_number 1
_symmetry_space_group_name_Hall 'P 1'
loop_
_atom_site_label
_atom_site_fract_x
_atom_site_fract_y
_atom_site_fract_z
Be1 0.000 0.000 0.000
Au1 0.500 0.500 0.500
Br1 0.283 0.283 0.283
Br2 0.717 0.717 0.717
```



5.
## V9GaGe2 (meta-GGA SCAN)

Data for a PBEsol-optimized structure of V9GaGe2.

```
data_V9GaGe2
_cell_length_a 4.704
_cell_length_b 4.706
_cell_length_c 14.091
_cell_angle_alpha 90.00
_cell_angle_beta 90.00
_cell_angle_gamma 90.00
_symmetry_space_group_name_H-M 'P 1'
_symmetry_Int_Tables_number 1
_symmetry_space_group_name_Hall 'P 1'
loop_
_atom_site_label
_atom_site_fract_x
_atom_site_fract_y
_atom_site_fract_z
V1 0.000 0.000 0.083
V2 0.000 0.000 0.250
V3 0.000 0.000 0.415
V4 0.000 0.000 0.585
V5 0.000 0.000 0.750
V6 0.000 0.000 0.917
V7 0.248 0.500 0.167
V8 0.248 0.500 0.833
V9 0.250 0.500 0.500
V10 0.500 0.252 0.334
V11 0.500 0.252 0.666
V12 0.500 0.254 0.000
V13 0.500 0.746 0.000
V14 0.500 0.748 0.334
V15 0.500 0.748 0.666
V16 0.750 0.500 0.500
V17 0.752 0.500 0.167
V18 0.752 0.500 0.833
Ga1 0.500 0.000 0.167
Ga2 0.500 0.000 0.833
Ge1 0.000 0.500 0.000
Ge2 0.000 0.500 0.334
Ge3 0.000 0.500 0.666
Ge4 0.500 0.000 0.500
```

Output
E_form   -0.36 eV per atom



6.
## ZrMnO3 (meta-GGA SCAN)

Data for a PBEsol-optimized structure of ZrMnO3.

```
data_ZrMnO3
_cell_length_a 5.669
_cell_length_b 5.669
_cell_length_c 5.669
_cell_angle_alpha 56.98
_cell_angle_beta 56.98
_cell_angle_gamma 56.98
_symmetry_space_group_name_H-M 'P 1'
_symmetry_Int_Tables_number 1
_symmetry_space_group_name_Hall 'P 1'
loop_
_atom_site_label
_atom_site_fract_x
_atom_site_fract_y
_atom_site_fract_z
Zr1 0.145 0.145 0.145
Zr2 0.855 0.855 0.855
Mn1 0.362 0.362 0.362
Mn2 0.638 0.638 0.638
O1 0.047 0.763 0.448
O2 0.237 0.552 0.953
O3 0.448 0.047 0.763
O4 0.552 0.953 0.237
O5 0.763 0.448 0.047
O6 0.953 0.237 0.552
```



7.
## KMg2Te (meta-GGA SCAN)

Data for a PBEsol-optimized structure of KMg2Te.

```
data_KMg2Te
_cell_length_a 5.521
_cell_length_b 5.521
_cell_length_c 5.521
_cell_angle_alpha 60.00
_cell_angle_beta 60.00
_cell_angle_gamma 60.00
_symmetry_space_group_name_H-M 'P 1'
_symmetry_Int_Tables_number 1
_symmetry_space_group_name_Hall 'P 1'
loop_
_atom_site_label
_atom_site_fract_x
_atom_site_fract_y
_atom_site_fract_z
K1 0.000 0.000 0.000
Mg1 0.500 0.500 0.500
Mg2 0.750 0.750 0.750
Te1 0.250 0.250 0.250
```



8.
## Na4Ca7MnSi12H4O36 (meta-GGA SCAN)

Data for a PBEsol-optimized structure of Na4Ca7MnSi12H4O36.

```
data_Na4Ca7MnSi12H4O36
_cell_length_a 7.003
_cell_length_b 7.942
_cell_length_c 13.967
_cell_angle_alpha 94.91
_cell_angle_beta 90.63
_cell_angle_gamma 102.55
_symmetry_space_group_name_H-M 'P 1'
_symmetry_Int_Tables_number 1
_symmetry_space_group_name_Hall 'P 1'
loop_
_atom_site_label
_atom_site_fract_x
_atom_site_fract_y
_atom_site_fract_z
Na1 0.000 0.000 0.000
Na2 0.003 0.001 0.500
Na3 0.506 0.105 0.343
Na4 0.514 0.105 0.844
Ca1 0.173 0.704 0.603
Ca2 0.176 0.703 0.105
Ca3 0.342 0.402 0.741
Ca4 0.665 0.700 0.600
Ca5 0.666 0.698 0.103
Ca6 0.849 0.407 0.745
Ca7 0.855 0.404 0.244
Mn1 0.342 0.398 0.242
Si1 0.003 0.005 0.245
Si2 0.210 0.766 0.847
Si3 0.219 0.758 0.346
Si4 0.305 0.339 0.002
Si5 0.305 0.343 0.495
Si6 0.519 0.104 0.103
Si7 0.522 0.102 0.598
Si8 0.660 0.770 0.843
Si9 0.667 0.772 0.342
Si10 0.854 0.335 0.502
Si11 0.855 0.336 0.005
Si12 0.993 0.005 0.745
H1 0.596 0.390 0.907
H2 0.603 0.392 0.401
H3 0.911 0.715 0.941
H4 0.916 0.714 0.439
O1 0.047 0.210 0.736
O2 0.066 0.212 0.237
O3 0.066 0.291 0.475
O4 0.067 0.291 0.979
O5 0.100 0.725 0.946
O6 0.105 0.719 0.444
O7 0.152 0.612 0.761
O8 0.167 0.951 0.813
O9 0.168 0.601 0.261
O10 0.171 0.941 0.310
O11 0.350 0.151 0.030
O12 0.353 0.158 0.528
O13 0.364 0.488 0.091
O14 0.365 0.494 0.581
O15 0.411 0.384 0.394
O16 0.415 0.386 0.903
O17 0.448 0.815 0.869
O18 0.456 0.817 0.369
O19 0.467 0.897 0.609
O20 0.470 0.900 0.115
O21 0.540 0.233 0.201
O22 0.549 0.224 0.699
O23 0.645 0.615 0.758
O24 0.651 0.615 0.259
O25 0.728 0.150 0.537
O26 0.728 0.153 0.043
O27 0.753 0.364 0.903
O28 0.754 0.366 0.401
O29 0.758 0.738 0.945
O30 0.766 0.741 0.444
O31 0.790 0.956 0.809
O32 0.797 0.959 0.308
O33 0.870 0.490 0.586
O34 0.873 0.493 0.088
O35 0.964 0.883 0.645
O36 0.967 0.884 0.144
```



The records above give, respectively, raw total energy values of -15.244, -30.396, -38.159, -28.306, -18.017, -16.536, -14.003, -10.110 eV per atom.